[1]
This record from the Alexandria database describes a relaxed structure of SrBe2Pt2. The functional is GGA-PBE.

Properties
For the formation enthalpy at 0 K, the calculation gives -315 kJ/mol of formula units. Its density of states at the Fermi level is 0.3263 states/eV per atom. The volume comes out at 17.0 Å³ per atom. The symmetry is I4/mmm (139). The energy is -0.180 hartree per atom. For the energy above the most stable polymorph in this dataset, the calculation gives 10.0 kJ/mol of atoms.

Geometry as POSCAR:
```
SrBe2Pt2
1.0
-2.0502 2.0502 5.0656
2.0502 -2.0502 5.0656
2.0502 2.0502 -5.0656
Sr Be Pt
1 2 2
Cartesian
0.0000 0.0000 0.0000
2.0502 0.0000 2.5328
0.0000 2.0502 2.5328
0.0000 0.0000 3.6263
0.0000 0.0000 6.5049
```


[2]
This record from the Alexandria database describes a relaxed structure of Sr3BePt. The functional is GGA-PBE.

Properties
For the formation enthalpy at 0 K, the calculation gives 25 kJ/mol of formula units. Its density of states at the Fermi level is 0.5371 states/eV per atom. The volume comes out at 39.7 Å³ per atom. The symmetry is Pm-3m (221). The energy is -0.107 hartree per atom. For the energy above the most stable polymorph in this dataset, the calculation gives 0.0 kJ/mol of atoms.

Geometry as POSCAR:
```
Sr3BePt
1.0
5.8322 0.0000 0.0000
0.0000 5.8322 0.0000
0.0000 0.0000 5.8322
Sr Be Pt
3 1 1
Cartesian
0.0000 0.0000 2.9161
0.0000 2.9161 0.0000
2.9161 0.0000 0.0000
2.9161 2.9161 2.9161
0.0000 0.0000 0.0000
```


[3]
This record from the Alexandria database describes a relaxed structure of SrBe3Pt. The functional is GGA-PBE.

Properties
For the formation enthalpy at 0 K, the calculation gives 1180 kJ/mol of formula units. Its density of states at the Fermi level is 0.6615 states/eV per atom. The volume comes out at 22.5 Å³ per atom. The symmetry is Pm-3m (221). The energy is -0.049 hartree per atom. For the energy above the most stable polymorph in this dataset, the calculation gives 259.6 kJ/mol of atoms.

Geometry as POSCAR:
```
SrBe3Pt
1.0
4.8250 0.0000 0.0000
0.0000 4.8250 0.0000
0.0000 0.0000 4.8250
Sr Be Pt
1 3 1
Cartesian
0.0000 0.0000 0.0000
0.0000 0.0000 2.4125
0.0000 2.4125 0.0000
2.4125 0.0000 0.0000
2.4125 2.4125 2.4125
```


[4]
This record from the Alexandria database describes a relaxed structure of SrBe2Pt2. The functional is GGA-PBE.

Properties
For the formation enthalpy at 0 K, the calculation gives -365 kJ/mol of formula units. Its density of states at the Fermi level is 0.1948 states/eV per atom. The volume comes out at 17.7 Å³ per atom. The symmetry is Fddd (70). The energy is -0.184 hartree per atom. For the energy above the most stable polymorph in this dataset, the calculation gives 0.0 kJ/mol of atoms.

Geometry as POSCAR:
```
SrBe2Pt2
1.0
0.0000 4.9103 6.2572
2.8884 0.0000 6.2572
2.8884 4.9103 0.0000
Sr Be Pt
2 4 4
Cartesian
0.7221 1.2276 1.5643
5.0547 8.5930 10.9501
2.1663 1.9672 4.6929
3.6105 4.4223 7.8215
2.1663 5.3983 4.6929
3.6105 7.8534 7.8215
2.1663 3.6827 3.1532
2.1663 3.6827 6.2326
3.6105 6.1379 6.2818
3.6105 6.1379 9.3612
```


[5]
This record from the Alexandria database describes a relaxed structure of SrBe2Pt2. The functional is GGA-PBE.

Properties
For the formation enthalpy at 0 K, the calculation gives -184 kJ/mol of formula units. Its density of states at the Fermi level is 0.2547 states/eV per atom. The volume comes out at 15.8 Å³ per atom. The symmetry is P4/mbm (127). The energy is -0.170 hartree per atom. For the energy above the most stable polymorph in this dataset, the calculation gives 36.1 kJ/mol of atoms.

Geometry as POSCAR:
```
SrBe2Pt2
1.0
7.4774 0.0000 0.0000
0.0000 7.4774 0.0000
0.0000 0.0000 2.8270
Sr Be Pt
2 4 4
Cartesian
0.0000 0.0000 0.0000
3.7387 3.7387 0.0000
0.9293 2.8095 1.4135
2.8095 6.5482 1.4135
4.6680 0.9293 1.4135
6.5482 4.6680 1.4135
1.0775 4.8163 0.0000
2.6612 1.0775 0.0000
4.8163 6.3999 0.0000
6.3999 2.6612 0.0000
```


[6]
This record from the Alexandria database describes a relaxed structure of SrBe2Pt3. The functional is GGA-PBE.

Properties
For the formation enthalpy at 0 K, the calculation gives -358 kJ/mol of formula units. Its density of states at the Fermi level is 0.5403 states/eV per atom. The volume comes out at 16.4 Å³ per atom. The symmetry is P6/mmm (191). The energy is -0.190 hartree per atom.

Geometry as POSCAR:
```
SrBe2Pt3
1.0
9.4312 0.0000 0.0000
-4.7156 8.1677 0.0000
0.0000 0.0000 3.8229
Sr Be Pt
3 6 9
Cartesian
0.0000 0.0000 0.0000
0.0000 5.4451 1.9115
4.7156 2.7226 1.9115
0.0000 2.8693 0.0000
-2.2307 6.7330 0.0000
2.4849 1.4346 0.0000
2.2307 6.7330 0.0000
6.9463 1.4346 0.0000
4.7156 5.2984 0.0000
-1.3773 2.3855 1.9115
-2.3578 4.0838 0.0000
-3.3383 5.7821 1.9115
2.7546 0.0000 1.9115
1.3773 2.3855 1.9115
4.7156 0.0000 0.0000
2.3578 4.0838 0.0000
6.6766 0.0000 1.9115
3.3383 5.7821 1.9115
```